[1]
SnAsSe2S: optimized geometry, PBE.

Values from the calculation:
**Space group**: P4/mmm, No. 123
**Formation energy without anion corrections**: 8.401 kcal/mol of atoms
**Excess energy over the best structure of this formula in the dataset**: 0 meV/atom
**E**: -3.585 eV/atom

a = 4.917 Å, b = 4.917 Å, c = 4.886 Å
α = 90.00°, β = 90.00°, γ = 90.00°
Atoms (fractional coordinates):
S (0.000, 0.000, 0.000)
As (0.000, 0.000, 0.500)
Sn (0.500, 0.500, 0.500)
Se (0.000, 0.500, 0.000)
Se (0.500, 0.000, 0.000)


[2]
SmHo2Rh: optimized geometry, PBE.

Values from the calculation:
**Space group**: Pnma, No. 62
**Excess energy over the best structure of this formula in the dataset**: 0 meV/atom
**E**: -5.822 eV/atom

a = 6.371 Å, b = 7.179 Å, c = 9.459 Å
α = 90.00°, β = 90.00°, γ = 90.00°
Atoms (fractional coordinates):
Sm (0.637, 0.534, 0.250)
Sm (0.863, 0.034, 0.250)
Sm (0.363, 0.466, 0.750)
Sm (0.137, 0.966, 0.750)
Ho (0.170, 0.676, 0.064)
Ho (0.330, 0.176, 0.436)
Ho (0.830, 0.324, 0.564)
Ho (0.670, 0.824, 0.936)
Ho (0.830, 0.324, 0.936)
Ho (0.670, 0.824, 0.564)
Ho (0.170, 0.676, 0.436)
Ho (0.330, 0.176, 0.064)
Rh (0.066, 0.382, 0.250)
Rh (0.434, 0.882, 0.250)
Rh (0.934, 0.618, 0.750)
Rh (0.566, 0.118, 0.750)


What did the second record say?
SmHo2Rh: optimized geometry, PBE.

Values from the calculation:
**Space group**: Pnma, No. 62
**Excess energy over the best structure of this formula in the dataset**: 0 meV/atom
**E**: -5.822 eV/atom

a = 6.371 Å, b = 7.179 Å, c = 9.459 Å
α = 90.00°, β = 90.00°, γ = 90.00°
Atoms (fractional coordinates):
Sm (0.637, 0.534, 0.250)
Sm (0.863, 0.034, 0.250)
Sm (0.363, 0.466, 0.750)
Sm (0.137, 0.966, 0.750)
Ho (0.170, 0.676, 0.064)
Ho (0.330, 0.176, 0.436)
Ho (0.830, 0.324, 0.564)
Ho (0.670, 0.824, 0.936)
Ho (0.830, 0.324, 0.936)
Ho (0.670, 0.824, 0.564)
Ho (0.170, 0.676, 0.436)
Ho (0.330, 0.176, 0.064)
Rh (0.066, 0.382, 0.250)
Rh (0.434, 0.882, 0.250)
Rh (0.934, 0.618, 0.750)
Rh (0.566, 0.118, 0.750)